1.
Here is an optimized crystal structure of TaSn3S from Alexandria. Energies are from GGA-PBE.

Cell lengths 5.3905, 5.3905, 5.3905 Å; angles 90.00, 90.00, 90.00 degrees
Atoms (fractional coordinates):
1 Ta 0.0000 0.0000 0.0000
2 Sn 0.0000 0.0000 0.5000
3 Sn 0.0000 0.5000 0.0000
4 Sn 0.5000 0.0000 0.0000
5 S 0.5000 0.5000 0.5000

Energy ... -24.8 eV for the cell shown
Total moment ... 1.935 μB/f.u.
ΔE to the lowest computed polymorph ... 0 meV/atom

***

2.
Here is an optimized crystal structure of TaSnS2 from Alexandria. Energies are from GGA-PBE.

Cell lengths 6.9820, 6.9820, 6.9820 Å; angles 126.19, 126.19, 79.58 degrees
Atoms (fractional coordinates):
1 Ta 0.0000 0.0000 0.0000
2 Ta 0.7500 0.2500 0.5000
3 Sn 0.2500 0.7500 0.5000
4 Sn 0.5000 0.5000 0.0000
5 S 0.0501 0.6250 0.9251
6 S 0.3750 0.3001 0.4251
7 S 0.6999 0.1250 0.0749
8 S 0.8750 0.9499 0.5749

Energy ... -49.0 eV for the cell shown
Total moment ... 0.946 μB/f.u.

***

3.
Here is an optimized crystal structure of TaSnS2 from Alexandria. Energies are from GGA-PBE.

Cell lengths 9.1049, 9.1049, 5.7544 Å; angles 94.71, 94.71, 21.27 degrees
Atoms (fractional coordinates):
1 Ta 0.0000 0.5000 0.0000
2 Ta 0.5000 0.0000 0.5000
3 Sn 0.2120 0.7880 0.7500
4 Sn 0.7880 0.2120 0.2500
5 S 0.0874 0.5890 0.6877
6 S 0.4110 0.9126 0.8123
7 S 0.5890 0.0874 0.1877
8 S 0.9126 0.4110 0.3123

Energy ... -54.1 eV for the cell shown
Total moment ... 0.000 μB/f.u.

***

4.
Here is an optimized crystal structure of Ta6SnS12 from Alexandria. Energies are from GGA-PBE.

Cell lengths 7.4255, 7.4255, 7.4255 Å; angles 103.42, 103.42, 103.42 degrees
Atoms (fractional coordinates):
1 Ta 0.2446 0.2446 0.6421
2 Ta 0.2446 0.6421 0.2446
3 Ta 0.3579 0.7554 0.7554
4 Ta 0.6421 0.2446 0.2446
5 Ta 0.7554 0.3579 0.7554
6 Ta 0.7554 0.7554 0.3579
7 Sn 0.0000 0.0000 0.0000
8 S 0.1276 0.5000 0.8724
9 S 0.1276 0.8724 0.5000
10 S 0.1760 0.4606 0.4606
11 S 0.4606 0.1760 0.4606
12 S 0.4606 0.4606 0.1760
13 S 0.5000 0.1276 0.8724
14 S 0.5000 0.8724 0.1276
15 S 0.5394 0.5394 0.8240
16 S 0.5394 0.8240 0.5394
17 S 0.8240 0.5394 0.5394
18 S 0.8724 0.1276 0.5000
19 S 0.8724 0.5000 0.1276

Energy ... -133.7 eV for the cell shown
Total moment ... 1.484 μB/f.u.

***

5.
Here is an optimized crystal structure of Ta2Sn2S7 from Alexandria. Energies are from GGA-PBE.

Cell lengths 8.7631, 8.7631, 8.7631 Å; angles 156.89, 68.53, 116.50 degrees
Atoms (fractional coordinates):
1 Ta 0.0000 0.0000 0.0000
2 Ta 0.6444 0.1444 0.5000
3 Sn 0.1111 0.7920 0.3191
4 Sn 0.4729 0.7920 0.6809
5 S 0.2023 0.7023 0.5000
6 S 0.2609 0.0880 0.1729
7 S 0.4510 0.5607 0.8902
8 S 0.6705 0.5607 0.1098
9 S 0.7602 0.3590 0.4012
10 S 0.9150 0.0880 0.8271
11 S 0.9577 0.3590 0.5988

Energy ... -67.3 eV for the cell shown
Total moment ... 0.000 μB/f.u.

***

6.
Here is an optimized crystal structure of TaSnS4 from Alexandria. Energies are from GGA-PBE.

Cell lengths 3.5652, 6.5316, 7.4180 Å; angles 64.23, 76.16, 90.00 degrees
Atoms (fractional coordinates):
1 Ta 0.0000 0.0000 0.0000
2 Sn 0.5000 0.5000 0.0000
3 S 0.1110 0.8036 0.7769
4 S 0.3897 0.7359 0.2217
5 S 0.6103 0.2641 0.7783
6 S 0.8890 0.1964 0.2231

Energy ... -36.4 eV for the cell shown
Total moment ... 0.000 μB/f.u.
ΔE to the lowest computed polymorph ... 0 meV/atom

***

7.
Here is an optimized crystal structure of Ta2SnS from Alexandria. Energies are from GGA-PBE.

Cell lengths 8.4943, 8.4943, 8.4943 Å; angles 146.22, 146.22, 48.53 degrees
Atoms (fractional coordinates):
1 Ta 0.0205 0.6250 0.8955
2 Ta 0.3750 0.2705 0.3955
3 Ta 0.7295 0.1250 0.1045
4 Ta 0.8750 0.9795 0.6045
5 Sn 0.2500 0.7500 0.5000
6 Sn 0.5000 0.5000 0.0000
7 S 0.0000 0.0000 0.0000
8 S 0.7500 0.2500 0.5000

Energy ... -59.7 eV for the cell shown
Total moment ... 0.000 μB/f.u.
ΔE to the lowest computed polymorph ... 372 meV/atom

***

8.
Here is an optimized crystal structure of TaSnS2 from Alexandria. Energies are from GGA-PBE.

Cell lengths 9.1051, 9.1051, 9.1051 Å; angles 21.02, 21.02, 21.02 degrees
Atoms (fractional coordinates):
1 Ta 0.0000 0.0000 0.0000
2 Sn 0.1690 0.1690 0.1690
3 S 0.3926 0.3926 0.3926
4 S 0.6070 0.6070 0.6070

Energy ... -26.8 eV for the cell shown
Total moment ... 0.000 μB/f.u.